First-principles (PBE) data for crystalline Li2Zn2InSnIr2 at its relaxed geometry, as listed in OQMD via LeMat-Bulk.

Summary:
As for the raw total energy: -33.54 eV per formula unit.

abc: 4.4553 4.4553 6.2926
angles: 90.00 90.00 90.00
Closest atoms and distances in Å follow each position.
Fractional coordinates of all 8 atoms:
Li  0.0000  0.5000  0.2486  2 In 2.72, 4 Zn 2.72-2.73, 2 Sn 2.73
Li  0.5000  0.0000  0.7514  2 In 2.72, 4 Zn 2.72-2.73, 2 Sn 2.73
Zn  0.0000  0.0000  0.0000  4 Li 2.72, 4 Ir 2.76
Zn  0.5000  0.5000  0.5000  4 Ir 2.70, 4 Li 2.73
In  0.5000  0.5000  0.0000  4 Li 2.72, 4 Ir 2.76
Sn  0.0000  0.0000  0.5000  4 Ir 2.70, 4 Li 2.73
Ir  0.0000  0.5000  0.7421  2 Sn 2.70, 4 Zn 2.70-2.76, 2 In 2.76
Ir  0.5000  0.0000  0.2579  2 Sn 2.70, 4 Zn 2.70-2.76, 2 In 2.76

=====

First-principles (PBE) data for crystalline Li4TlInIr2 at its relaxed geometry, as listed in OQMD via LeMat-Bulk.

Summary:
As for the raw total energy: -31.96 eV per formula unit.

abc: 4.4732 4.4732 6.3278
angles: 90.00 90.00 90.00
Closest atoms and distances in Å follow each position.
Fractional coordinates of all 8 atoms:
Li  0.0000  0.0000  0.0000  4 Li 2.74, 4 Ir 2.77
Li  0.0000  0.5000  0.7493  4 Li 2.74, 2 In 2.74, 2 Tl 2.74
Li  0.5000  0.0000  0.2507  4 Li 2.74, 2 In 2.74, 2 Tl 2.74
Li  0.5000  0.5000  0.5000  4 Ir 2.71, 4 Li 2.74
Tl  0.5000  0.5000  0.0000  4 Li 2.74, 4 Ir 2.77
In  0.0000  0.0000  0.5000  4 Ir 2.71, 4 Li 2.74
Ir  0.0000  0.5000  0.2576  4 Li 2.71-2.77, 2 In 2.71, 2 Tl 2.77
Ir  0.5000  0.0000  0.7424  4 Li 2.71-2.77, 2 In 2.71, 2 Tl 2.77